*one*
Entry from Alexandria via LeMat-Bulk: a relaxed structure of HoAl2Ir2 (PBE-GGA).

Values from the calculation:
total moment: 0.000 μB per atom

Lattice parameters (Å, degrees): 4.147 4.147 10.914 100.95 100.95 90.00
Atoms (fractional coordinates):
Al (0.187, 0.187, 0.374)
Al (0.500, 0.000, 0.000)
Al (0.813, 0.813, 0.626)
Al (0.000, 0.500, 0.000)
Ir (0.070, 0.070, 0.140)
Ir (0.930, 0.930, 0.860)
Ir (0.750, 0.250, 0.500)
Ir (0.250, 0.750, 0.500)
Ho (0.367, 0.367, 0.733)
Ho (0.633, 0.633, 0.267)


*two*
Entry from Alexandria via LeMat-Bulk: a relaxed structure of HoAl2Ir2 (PBE-GGA).

Values from the calculation:
total moment: 0.000 μB per atom

Lattice parameters (Å, degrees): 4.220 4.220 10.130 90.00 90.00 90.00
Atoms (fractional coordinates):
Ho (0.500, 0.000, 0.265)
Ho (0.000, 0.500, 0.735)
Ir (0.000, 0.000, 0.500)
Ir (0.500, 0.000, 0.865)
Ir (0.000, 0.500, 0.135)
Ir (0.500, 0.500, 0.500)
Al (0.500, 0.500, 0.000)
Al (0.000, 0.500, 0.376)
Al (0.000, 0.000, 0.000)
Al (0.500, 0.000, 0.624)


Of all the structures shown, which is most stable? *two*, and *one* is the least stable.